# 1
First-principles (PBE) data for an optimized crystal structure of FeReAsIr, as listed in OQMD.

The structure in POSCAR format:
```
FeReAsIr
1.0
6.1075 0.0000 0.0000
0.0000 6.1075 0.0000
0.0000 0.0000 6.1075
Fe Re As Ir
4 4 4 4
Cartesian
0.0000 0.0000 0.0000
0.0000 3.0538 3.0538
3.0538 0.0000 3.0538
3.0538 3.0538 0.0000
0.0000 0.0000 3.0538
0.0000 3.0538 0.0000
3.0538 0.0000 0.0000
3.0538 3.0538 3.0538
1.5269 1.5269 4.5806
1.5269 4.5806 1.5269
4.5806 1.5269 1.5269
4.5806 4.5806 4.5806
1.5269 1.5269 1.5269
1.5269 4.5806 4.5806
4.5806 1.5269 4.5806
4.5806 4.5806 1.5269
```

SG   F-43m (216)

# 2
First-principles (PBE) data for an optimized crystal structure of ScFeAsIr, as listed in OQMD.

The structure in POSCAR format:
```
ScFeAsIr
1.0
6.3288 0.0000 0.0000
0.0000 6.3288 0.0000
0.0000 0.0000 6.3288
Sc Fe As Ir
4 4 4 4
Cartesian
0.0000 0.0000 0.0000
0.0000 3.1644 3.1644
3.1644 0.0000 3.1644
3.1644 3.1644 0.0000
0.0000 0.0000 3.1644
0.0000 3.1644 0.0000
3.1644 0.0000 0.0000
3.1644 3.1644 3.1644
1.5822 1.5822 1.5822
1.5822 4.7466 4.7466
4.7466 1.5822 4.7466
4.7466 4.7466 1.5822
1.5822 1.5822 4.7466
1.5822 4.7466 1.5822
4.7466 1.5822 1.5822
4.7466 4.7466 4.7466
```

SG   F-43m (216)

# 3
First-principles (PBE) data for an optimized crystal structure of ScFeAsIr, as listed in OQMD.

The structure in POSCAR format:
```
ScFeAsIr
1.0
6.1644 0.0000 0.0000
0.0000 6.1644 0.0000
0.0000 0.0000 6.1644
Sc Fe As Ir
4 4 4 4
Cartesian
0.0000 0.0000 0.0000
0.0000 3.0822 3.0822
3.0822 0.0000 3.0822
3.0822 3.0822 0.0000
1.5411 1.5411 4.6233
1.5411 4.6233 1.5411
4.6233 1.5411 1.5411
4.6233 4.6233 4.6233
0.0000 0.0000 3.0822
0.0000 3.0822 0.0000
3.0822 0.0000 0.0000
3.0822 3.0822 3.0822
1.5411 1.5411 1.5411
1.5411 4.6233 4.6233
4.6233 1.5411 4.6233
4.6233 4.6233 1.5411
```

SG   F-43m (216)

# 4
First-principles (PBE) data for an optimized crystal structure of TaFeAsIr, as listed in OQMD.

The structure in POSCAR format:
```
TaFeAsIr
1.0
6.2443 0.0000 0.0000
0.0000 6.2443 0.0000
0.0000 0.0000 6.2443
Ta Fe As Ir
4 4 4 4
Cartesian
0.0000 0.0000 0.0000
0.0000 3.1221 3.1221
3.1221 0.0000 3.1221
3.1221 3.1221 0.0000
0.0000 0.0000 3.1221
0.0000 3.1221 0.0000
3.1221 0.0000 0.0000
3.1221 3.1221 3.1221
1.5611 1.5611 1.5611
1.5611 4.6832 4.6832
4.6832 1.5611 4.6832
4.6832 4.6832 1.5611
1.5611 1.5611 4.6832
1.5611 4.6832 1.5611
4.6832 1.5611 1.5611
4.6832 4.6832 4.6832
```

SG   F-43m (216)

# 5
First-principles (PBE) data for an optimized crystal structure of TaFeAsIr, as listed in OQMD.

The structure in POSCAR format:
```
TaFeAsIr
1.0
6.2422 0.0000 0.0000
0.0000 6.2422 0.0000
0.0000 0.0000 6.2422
Ta Fe As Ir
4 4 4 4
Cartesian
0.0000 0.0000 0.0000
0.0000 3.1211 3.1211
3.1211 0.0000 3.1211
3.1211 3.1211 0.0000
1.5606 1.5606 4.6817
1.5606 4.6817 1.5606
4.6817 1.5606 1.5606
4.6817 4.6817 4.6817
0.0000 0.0000 3.1211
0.0000 3.1211 0.0000
3.1211 0.0000 0.0000
3.1211 3.1211 3.1211
1.5606 1.5606 1.5606
1.5606 4.6817 4.6817
4.6817 1.5606 4.6817
4.6817 4.6817 1.5606
```

SG   F-43m (216)

# 6
First-principles (PBE) data for an optimized crystal structure of YFeAsIr, as listed in OQMD.

The structure in POSCAR format:
```
YFeAsIr
1.0
6.4731 0.0000 0.0000
0.0000 6.4731 0.0000
0.0000 0.0000 6.4731
Y Fe As Ir
4 4 4 4
Cartesian
0.0000 0.0000 0.0000
0.0000 3.2366 3.2366
3.2366 0.0000 3.2366
3.2366 3.2366 0.0000
1.6183 1.6183 4.8549
1.6183 4.8549 1.6183
4.8549 1.6183 1.6183
4.8549 4.8549 4.8549
0.0000 0.0000 3.2366
0.0000 3.2366 0.0000
3.2366 0.0000 0.0000
3.2366 3.2366 3.2366
1.6183 1.6183 1.6183
1.6183 4.8549 4.8549
4.8549 1.6183 4.8549
4.8549 4.8549 1.6183
```

SG   F-43m (216)

no.,energy above the most stable polymorph in this dataset (meV per atom)
1,0.0
2,88.0
3,0.0
4,0.0
5,10.9
6,0.0